Entry 1:
SiMoPt2 (meta-GGA SCAN, single point on PBEsol structure); DOS(E_F) = 2.64 states/eV per cell; total energy = -46.58 eV per atom; SG = No. 65; formation energy without anion corrections = -1.03 eV/f.u.
1.0
2.643 -4.004 0.000
2.643 4.004 0.000
0.000 0.000 2.747
Si Mo Pt
1 1 2
Direct
0.000 0.000 0.000
0.500 0.500 0.000
0.000 0.500 0.500
0.500 0.000 0.500

Entry 2:
Na2PRh2 (meta-GGA SCAN, single point on PBEsol structure); DOS(E_F) = 2.37 states/eV per cell; total energy = -17.75 eV per atom; energy of formation = -0.48 eV per atom; SG = No. 127
1.0
5.884 0.000 0.000
0.000 5.884 0.000
0.000 0.000 4.956
Na P Rh
4 2 4
Direct
0.170 0.330 0.000
0.330 0.830 0.000
0.670 0.170 0.000
0.830 0.670 0.000
0.000 0.000 0.500
0.500 0.500 0.500
0.155 0.655 0.500
0.345 0.155 0.500
0.655 0.845 0.500
0.845 0.345 0.500

Entry 3:
SrLaCl2 (meta-GGA SCAN, single point on PBEsol structure); DOS(E_F) = 0.59 states/eV per cell; total energy = -22.10 eV per atom; distance to the lowest polymorph of the same formula = 0 meV/atom; SG = No. 160; formation energy without anion corrections = -7.07 eV/f.u.
1.0
2.037 1.176 9.906
-2.037 1.176 9.906
0.000 -2.353 9.906
Sr La Cl
1 1 2
Direct
0.000 0.000 0.000
0.782 0.782 0.782
0.278 0.278 0.278
0.504 0.504 0.504

Entry 4:
DyMg16Al12 (meta-GGA SCAN, single point on PBEsol structure); DOS(E_F) = 9.19 states/eV per cell; total energy = -7.67 eV per atom; energy of formation = -0.07 eV per atom; SG = No. 160
1.0
7.481 4.319 2.969
-7.481 4.319 2.969
0.000 -8.638 2.969
Dy Mg Al
1 16 12
Direct
0.000 0.000 0.000
0.021 0.315 0.628
0.021 0.628 0.315
0.235 0.235 0.905
0.235 0.905 0.235
0.282 0.625 0.625
0.315 0.021 0.628
0.315 0.628 0.021
0.345 0.943 0.943
0.625 0.282 0.625
0.625 0.625 0.282
0.627 0.627 0.627
0.628 0.021 0.315
0.628 0.315 0.021
0.905 0.235 0.235
0.943 0.345 0.943
0.943 0.943 0.345
0.253 0.253 0.437
0.253 0.437 0.253
0.437 0.253 0.253
0.439 0.439 0.801
0.439 0.801 0.439
0.630 0.814 0.994
0.630 0.994 0.814
0.801 0.439 0.439
0.814 0.630 0.994
0.814 0.994 0.630
0.994 0.630 0.814
0.994 0.814 0.630

Entry 5:
TlMo3I (meta-GGA SCAN, single point on PBEsol structure); DOS(E_F) = 4.41 states/eV per cell; total energy = -40.63 eV per atom; SG = No. 221; formation energy without anion corrections = 10.62 eV/f.u.
1.0
4.831 0.000 0.000
0.000 4.831 0.000
0.000 0.000 4.831
Tl Mo I
1 3 1
Direct
0.000 0.000 0.000
0.000 0.500 0.500
0.500 0.000 0.500
0.500 0.500 0.000
0.500 0.500 0.500

Entry 6:
BaLiMg4 (meta-GGA SCAN, single point on PBEsol structure); DOS(E_F) = 2.59 states/eV per cell; total energy = -10.32 eV per atom; energy of formation = -0.02 eV per atom; SG = No. 216
1.0
0.000 4.387 4.387
4.387 0.000 4.387
4.387 4.387 0.000
Ba Li Mg
1 1 4
Direct
0.000 0.000 0.000
0.750 0.750 0.750
0.376 0.376 0.376
0.376 0.376 0.871
0.376 0.871 0.376
0.871 0.376 0.376

Entry 7:
MgCdSb (meta-GGA SCAN, single point on PBEsol structure); DOS(E_F) = 1.26 states/eV per cell; total energy = -24.26 eV per atom; distance to the lowest polymorph of the same formula = 49 meV/atom; SG = No. 44; formation energy without anion corrections = -0.13 eV/f.u.
1.0
-1.728 2.120 4.778
1.728 -2.120 4.778
1.728 2.120 -4.778
Mg Cd Sb
1 1 1
Direct
0.000 0.000 0.000
0.334 0.334 0.000
0.662 0.662 0.000

Entry 8:
BaCoSiO4 (meta-GGA SCAN, single point on PBEsol structure); DOS(E_F) = 0.00 states/eV per cell; total energy = -15.75 eV per atom; SG = No. 173; formation energy without anion corrections = -18.48 eV/f.u.
1.0
9.081 0.000 0.000
-4.541 7.865 0.000
0.000 0.000 8.614
Ba Co Si O
6 6 6 24
Direct
0.000 0.000 0.000
0.000 0.000 0.500
0.333 0.667 0.455
0.333 0.667 0.959
0.667 0.333 0.459
0.667 0.333 0.955
0.013 0.687 0.774
0.313 0.326 0.774
0.326 0.013 0.274
0.674 0.987 0.774
0.687 0.674 0.274
0.987 0.313 0.274
0.013 0.670 0.172
0.330 0.342 0.172
0.342 0.013 0.672
0.658 0.987 0.172
0.670 0.658 0.672
0.987 0.330 0.672
0.073 0.730 0.991
0.087 0.847 0.272
0.095 0.553 0.224
0.153 0.240 0.272
0.196 0.436 0.687
0.240 0.087 0.772
0.240 0.804 0.687
0.270 0.342 0.991
0.342 0.073 0.491
0.436 0.240 0.187
0.447 0.542 0.224
0.458 0.905 0.224
0.542 0.095 0.724
0.553 0.458 0.724
0.564 0.760 0.687
0.658 0.927 0.991
0.730 0.658 0.491
0.760 0.196 0.187
0.760 0.913 0.272
0.804 0.564 0.187
0.847 0.760 0.772
0.905 0.447 0.724
0.913 0.153 0.772
0.927 0.270 0.491

Entry 9:
Ag5Os (meta-GGA SCAN, single point on PBEsol structure); DOS(E_F) = 2.51 states/eV per cell; total energy = -37.15 eV per atom; energy of formation = 0.97 eV per atom; SG = No. 191
1.0
5.142 0.000 0.000
-2.571 4.454 0.000
0.000 0.000 4.649
Ag Os
5 1
Direct
0.000 0.500 0.000
0.333 0.667 0.500
0.500 0.000 0.000
0.500 0.500 0.000
0.667 0.333 0.500
0.000 0.000 0.500

Entry 10:
BaTe2Mo2H2O12 (meta-GGA SCAN, single point on PBEsol structure); DOS(E_F) = 0.00 states/eV per cell; total energy = -15.80 eV per atom; SG = No. 19
1.0
7.328 0.000 0.000
0.000 7.445 0.000
0.000 0.000 18.493
Ba Te Mo H O
4 8 8 8 48
Direct
0.244 0.183 0.448
0.256 0.817 0.948
0.744 0.317 0.552
0.756 0.683 0.052
0.013 0.861 0.601
0.165 0.424 0.258
0.335 0.576 0.758
0.487 0.139 0.101
0.513 0.639 0.399
0.665 0.076 0.742
0.835 0.924 0.242
0.987 0.361 0.899
0.025 0.659 0.404
0.225 0.051 0.759
0.275 0.949 0.259
0.475 0.341 0.904
0.525 0.841 0.596
0.725 0.449 0.241
0.775 0.551 0.741
0.975 0.159 0.096
0.184 0.496 0.082
0.222 0.689 0.115
0.278 0.311 0.615
0.316 0.504 0.582
0.684 0.004 0.918
0.722 0.811 0.885
0.778 0.189 0.385
0.816 0.996 0.418
0.005 0.486 0.467
0.044 0.011 0.188
0.052 0.860 0.307
0.060 0.091 0.568
0.087 0.066 0.835
0.095 0.887 0.700
0.153 0.820 0.450
0.157 0.626 0.075
0.172 0.202 0.306
0.182 0.241 0.709
0.204 0.253 0.096
0.239 0.445 0.859
0.261 0.555 0.359
0.296 0.747 0.596
0.318 0.759 0.209
0.328 0.798 0.806
0.343 0.374 0.575
0.347 0.180 0.950
0.405 0.113 0.200
0.413 0.934 0.335
0.440 0.909 0.068
0.448 0.140 0.807
0.456 0.989 0.688
0.495 0.514 0.967
0.505 0.014 0.533
0.544 0.489 0.812
0.552 0.640 0.693
0.560 0.409 0.432
0.587 0.434 0.165
0.595 0.613 0.300
0.653 0.680 0.550
0.657 0.874 0.925
0.672 0.298 0.694
0.682 0.259 0.291
0.704 0.247 0.904
0.739 0.055 0.141
0.761 0.945 0.641
0.796 0.753 0.404
0.818 0.741 0.791
0.828 0.702 0.194
0.843 0.126 0.425
0.847 0.320 0.050
0.905 0.387 0.800
0.913 0.566 0.665
0.940 0.591 0.932
0.948 0.360 0.193
0.956 0.511 0.312
0.995 0.986 0.033

Entry 11:
MgNi2Os (meta-GGA SCAN, single point on PBEsol structure); DOS(E_F) = 2.68 states/eV per cell; total energy = -27.14 eV per atom; energy of formation = 0.16 eV per atom; SG = No. 166
1.0
1.333 0.769 8.350
-1.333 0.769 8.350
0.000 -1.539 8.350
Mg Ni Os
1 2 1
Direct
0.000 0.000 0.000
0.248 0.248 0.248
0.752 0.752 0.752
0.500 0.500 0.500

Entry 12:
K3ScI6 (meta-GGA SCAN, single point on PBEsol structure); DOS(E_F) = 0.00 states/eV per cell; total energy = -27.41 eV per atom; SG = No. 225; formation energy without anion corrections = -14.42 eV/f.u.
1.0
0.000 6.085 6.085
6.085 0.000 6.085
6.085 6.085 0.000
K Sc I
3 1 6
Direct
0.000 0.000 0.000
0.250 0.250 0.250
0.750 0.750 0.750
0.500 0.500 0.500
0.267 0.267 0.733
0.267 0.733 0.267
0.267 0.733 0.733
0.733 0.267 0.267
0.733 0.267 0.733
0.733 0.733 0.267